First-principles (PBE) data for crystalline TeOs at its relaxed geometry, as listed in Alexandria.

a = 7.9183 Å, b = 7.9183 Å, c = 7.9183 Å
α = 90.00°, β = 90.00°, γ = 90.00°
Closest atoms and distances in Å follow each position.
Sites, in units of the cell vectors:
Te 0.1914 0.1914 0.1914  4 Os 2.53-2.61
Te 0.1914 0.8086 0.8086  4 Os 2.53-2.61
Te 0.3086 0.3086 0.6914  4 Os 2.53-2.61
Te 0.3086 0.6914 0.3086  4 Os 2.53-2.61
Te 0.6914 0.3086 0.3086  4 Os 2.53-2.61
Te 0.6914 0.6914 0.6914  4 Os 2.53-2.61
Te 0.8086 0.1914 0.8086  4 Os 2.53-2.61
Te 0.8086 0.8086 0.1914  4 Os 2.53-2.61
Os 0.1243 0.1243 0.8757  4 Te 2.53-2.61, 3 Os 2.78
Os 0.1243 0.8757 0.1243  4 Te 2.53-2.61, 3 Os 2.78
Os 0.3757 0.3757 0.3757  4 Te 2.53-2.61, 3 Os 2.78
Os 0.3757 0.6243 0.6243  4 Te 2.53-2.61, 3 Os 2.78
Os 0.6243 0.3757 0.6243  4 Te 2.53-2.61, 3 Os 2.78
Os 0.6243 0.6243 0.3757  4 Te 2.53-2.61, 3 Os 2.78
Os 0.8757 0.1243 0.1243  4 Te 2.53-2.61, 3 Os 2.78
Os 0.8757 0.8757 0.8757  4 Te 2.53-2.61, 3 Os 2.78

Results
E_form (uncorrected)	14.8	kcal/mol of atoms
total DFT energy (no corrections)	-104.67	eV per cell
SG	I-43m (217)
calculated volume	496	Å³ per cell

---

First-principles (PBE) data for crystalline TeOs2 at its relaxed geometry, as listed in Alexandria.

a = 5.1769 Å, b = 5.1769 Å, c = 8.3865 Å
α = 90.00°, β = 90.00°, γ = 90.00°
Closest atoms and distances in Å follow each position.
Sites, in units of the cell vectors:
Te 0.0000 0.0000 0.2500  8 Os 2.84
Te 0.0000 0.0000 0.7500  8 Os 2.84
Te 0.5000 0.5000 0.2500  8 Os 2.84
Te 0.5000 0.5000 0.7500  8 Os 2.84
Os 0.1721 0.3279 0.0000  5 Os 2.52-2.71
Os 0.1721 0.6721 0.5000  5 Os 2.52-2.71
Os 0.3279 0.1721 0.5000  5 Os 2.52-2.71
Os 0.3279 0.8279 0.0000  5 Os 2.52-2.71
Os 0.6721 0.1721 0.0000  5 Os 2.52-2.71
Os 0.6721 0.8279 0.5000  5 Os 2.52-2.71
Os 0.8279 0.3279 0.5000  5 Os 2.52-2.71
Os 0.8279 0.6721 0.0000  5 Os 2.52-2.71

Results
E_form (uncorrected)	18.8	kcal/mol of atoms
total DFT energy (no corrections)	-92.62	eV per cell
SG	I4/mcm (140)
calculated volume	225	Å³ per cell

---

First-principles (PBE) data for crystalline TeOs3 at its relaxed geometry, as listed in Alexandria.

a = 2.9238 Å, b = 2.9238 Å, c = 7.6699 Å
α = 90.00°, β = 90.00°, γ = 90.00°
Closest atoms and distances in Å follow each position.
Sites, in units of the cell vectors:
Te 0.0000 0.0000 0.0000  4 Te 2.92, 8 Os 2.94
Os 0.0000 0.0000 0.5000  12 Os 2.70-2.92
Os 0.5000 0.5000 0.2734  8 Os 2.70-2.92, 4 Te 2.94
Os 0.5000 0.5000 0.7266  8 Os 2.70-2.92, 4 Te 2.94

Results
E_form (uncorrected)	17.6	kcal/mol of atoms
total DFT energy (no corrections)	-33.78	eV per cell
SG	P4/mmm (123)
calculated volume	66	Å³ per cell

---

First-principles (PBE) data for crystalline Te5Os at its relaxed geometry, as listed in Alexandria.

a = 13.9130 Å, b = 3.8525 Å, c = 8.0303 Å
α = 90.00°, β = 119.91°, γ = 90.00°
Closest atoms and distances in Å follow each position.
Sites, in units of the cell vectors:
Te 0.0000 0.0000 0.0000  1 Os 2.68, 2 Te 2.98
Te 0.0498 0.5000 0.6184  2 Os 2.76, 1 Te 2.87
Te 0.1677 0.5000 0.3502  2 Os 2.71
Te 0.3149 0.0000 0.7861  3 Te 2.98-3.25
Te 0.3696 0.0000 0.2290  2 Os 2.76, 1 Te 2.87
Te 0.5000 0.5000 0.0000  1 Os 2.68, 2 Te 2.98
Te 0.5498 0.0000 0.6184  2 Os 2.76, 1 Te 2.87
Te 0.6677 0.0000 0.3502  2 Os 2.71
Te 0.8149 0.5000 0.7861  3 Te 2.98-3.25
Te 0.8696 0.5000 0.2290  2 Os 2.76, 1 Te 2.87
Os 0.0333 0.0000 0.3593  7 Te 2.68-2.76
Os 0.5333 0.5000 0.3593  7 Te 2.68-2.76

Results
E_form (uncorrected)	3.7	kcal/mol of atoms
total DFT energy (no corrections)	-51.94	eV per cell
SG	Cm (8)
calculated volume	373	Å³ per cell

---

First-principles (PBE) data for crystalline TeOs at its relaxed geometry, as listed in Alexandria.

a = 3.9815 Å, b = 3.9815 Å, c = 9.3492 Å
α = 90.00°, β = 90.00°, γ = 90.00°
Closest atoms and distances in Å follow each position.
Sites, in units of the cell vectors:
Te 0.0000 0.2500 0.3750  8 Os 2.82-3.07, 4 Te 3.07
Te 0.0000 0.7500 0.6250  8 Os 2.82-3.07, 4 Te 3.07
Te 0.5000 0.2500 0.1250  8 Os 2.82-3.07, 4 Te 3.07
Te 0.5000 0.7500 0.8750  8 Os 2.82-3.07, 4 Te 3.07
Os 0.0000 0.2500 0.8750  8 Te 2.82-3.07, 4 Os 3.07
Os 0.0000 0.7500 0.1250  8 Te 2.82-3.07, 4 Os 3.07
Os 0.5000 0.2500 0.6250  8 Te 2.82-3.07, 4 Os 3.07
Os 0.5000 0.7500 0.3750  8 Te 2.82-3.07, 4 Os 3.07

Results
E_form (uncorrected)	26.6	kcal/mol of atoms
total DFT energy (no corrections)	-48.25	eV per cell
SG	I4_1/amd (141)
calculated volume	148	Å³ per cell

---

First-principles (PBE) data for crystalline TeOs2 at its relaxed geometry, as listed in Alexandria.

a = 12.9332 Å, b = 2.9648 Å, c = 6.8743 Å
α = 90.00°, β = 121.05°, γ = 90.00°
Closest atoms and distances in Å follow each position.
Sites, in units of the cell vectors:
Te 0.0514 0.0000 0.2724  5 Os 2.67-2.81, 2 Te 2.96
Te 0.4486 0.5000 0.7276  5 Os 2.67-2.81, 2 Te 2.96
Te 0.5514 0.5000 0.2724  5 Os 2.67-2.81, 2 Te 2.96
Te 0.9486 0.0000 0.7276  5 Os 2.67-2.81, 2 Te 2.96
Os 0.1598 0.5000 0.8635  5 Os 2.58-2.73, 2 Te 2.81
Os 0.2465 0.5000 0.3195  5 Os 2.61-2.85, 3 Te 2.67-2.80
Os 0.2535 0.0000 0.6805  5 Os 2.61-2.85, 3 Te 2.67-2.80
Os 0.3402 0.0000 0.1365  5 Os 2.58-2.73, 2 Te 2.81
Os 0.6598 0.0000 0.8635  5 Os 2.58-2.73, 2 Te 2.81
Os 0.7465 0.0000 0.3195  5 Os 2.61-2.85, 3 Te 2.67-2.80
Os 0.7535 0.5000 0.6805  5 Os 2.61-2.85, 3 Te 2.67-2.80
Os 0.8402 0.5000 0.1365  5 Os 2.58-2.73, 2 Te 2.81

Results
E_form (uncorrected)	16.2	kcal/mol of atoms
total DFT energy (no corrections)	-93.97	eV per cell
SG	C2/m (12)
calculated volume	226	Å³ per cell

---

First-principles (PBE) data for crystalline TeOs3 at its relaxed geometry, as listed in Alexandria.

a = 2.9188 Å, b = 4.4901 Å, c = 4.9329 Å
α = 90.00°, β = 90.00°, γ = 90.00°
Closest atoms and distances in Å follow each position.
Sites, in units of the cell vectors:
Te 0.0000 0.0000 0.0000  10 Os 2.80-2.93, 2 Te 2.92
Os 0.0000 0.5000 0.6531  8 Os 2.68-2.92, 2 Te 2.82
Os 0.5000 0.0000 0.5145  8 Os 2.74-2.92, 4 Te 2.80-2.93
Os 0.5000 0.5000 0.1967  6 Os 2.68-2.92, 4 Te 2.85

Results
E_form (uncorrected)	18.8	kcal/mol of atoms
total DFT energy (no corrections)	-33.56	eV per cell
SG	Pmm2 (25)
calculated volume	65	Å³ per cell

---

First-principles (PBE) data for crystalline Te5Os3 at its relaxed geometry, as listed in Alexandria.

a = 8.1949 Å, b = 12.2885 Å, c = 3.8845 Å
α = 90.00°, β = 90.00°, γ = 90.00°
Closest atoms and distances in Å follow each position.
Sites, in units of the cell vectors:
Te 0.0000 0.0000 0.0000  4 Te 3.01
Te 0.2195 0.5000 0.5000  4 Os 2.64-2.65
Te 0.2500 0.2500 0.0000  4 Os 3.04
Te 0.2500 0.7500 0.0000  4 Os 3.04
Te 0.2805 0.0000 0.5000  4 Os 2.64-2.65
Te 0.5000 0.5000 0.0000  4 Te 3.01
Te 0.7195 0.0000 0.5000  4 Os 2.64-2.65
Te 0.7500 0.2500 0.0000  4 Os 3.04
Te 0.7500 0.7500 0.0000  4 Os 3.04
Te 0.7805 0.5000 0.5000  4 Os 2.64-2.65
Os 0.0000 0.3424 0.5000  2 Te 2.64, 2 Os 2.74
Os 0.0000 0.5000 0.0000  4 Te 2.65, 4 Os 2.74
Os 0.0000 0.6576 0.5000  2 Te 2.64, 2 Os 2.74
Os 0.5000 0.0000 0.0000  4 Te 2.65, 4 Os 2.74
Os 0.5000 0.1576 0.5000  2 Te 2.64, 2 Os 2.74
Os 0.5000 0.8424 0.5000  2 Te 2.64, 2 Os 2.74

Results
E_form (uncorrected)	17.8	kcal/mol of atoms
total DFT energy (no corrections)	-86.46	eV per cell
SG	Cmmm (65)
calculated volume	391	Å³ per cell

---

First-principles (PBE) data for crystalline TeOs at its relaxed geometry, as listed in Alexandria.

a = 3.0253 Å, b = 4.8581 Å, c = 10.4831 Å
α = 90.00°, β = 90.00°, γ = 90.00°
Closest atoms and distances in Å follow each position.
Sites, in units of the cell vectors:
Te 0.0000 0.2500 0.0999  6 Os 2.90-2.99, 4 Te 3.03-3.21
Te 0.0000 0.7500 0.9001  6 Os 2.90-2.99, 4 Te 3.03-3.21
Te 0.5000 0.2500 0.4001  6 Os 2.90-2.99, 4 Te 3.03-3.21
Te 0.5000 0.7500 0.5999  6 Os 2.90-2.99, 4 Te 3.03-3.21
Os 0.0000 0.2500 0.6458  2 Os 2.66, 4 Te 2.90
Os 0.0000 0.7500 0.3542  2 Os 2.66, 4 Te 2.90
Os 0.5000 0.2500 0.8542  2 Os 2.66, 4 Te 2.90
Os 0.5000 0.7500 0.1458  2 Os 2.66, 4 Te 2.90

Results
E_form (uncorrected)	21.2	kcal/mol of atoms
total DFT energy (no corrections)	-50.14	eV per cell
SG	Imma (74)
calculated volume	154	Å³ per cell

---

First-principles (PBE) data for crystalline TeOs at its relaxed geometry, as listed in Alexandria.

a = 4.6202 Å, b = 3.1842 Å, c = 6.0633 Å
α = 90.00°, β = 90.00°, γ = 90.00°
Closest atoms and distances in Å follow each position.
Sites, in units of the cell vectors:
Te 0.2500 0.0000 0.2392  6 Os 2.68-2.98
Te 0.7500 0.0000 0.7608  6 Os 2.68-2.98
Os 0.2500 0.5000 0.5945  2 Os 2.58, 2 Te 2.68
Os 0.7500 0.5000 0.4055  2 Os 2.58, 2 Te 2.68

Results
E_form (uncorrected)	20.2	kcal/mol of atoms
total DFT energy (no corrections)	-25.23	eV per cell
SG	Pmma (51)
calculated volume	89	Å³ per cell

---

- calculated volume of number 7 (TeOs3)?
  65 Å³ per cell